Density functional theory data (PBE) for an optimized crystal structure of TiSi2Pt.

abc: 4.3467 4.3467 4.3467
angles: 60.00 60.00 60.00
With the nearest neighbours (Å) after each atom.
Element x y z (fractional)
Si 0.2500 0.2500 0.2500  4 Pt 2.66, 4 Ti 2.66
Si 0.7500 0.7500 0.7500  4 Ti 2.66, 4 Pt 2.66
Pt 0.5000 0.5000 0.5000  8 Si 2.66
Ti 0.0000 0.0000 0.0000  8 Si 2.66

Formation energy from raw total energies = -0.351 eV per atom
Space-group type = Fm-3m (225)
N(E_F) = 0.751 states/eV per atom

=====

Density functional theory data (PBE) for an optimized crystal structure of Ti2SiPt2.

abc: 7.0846 7.0846 3.2381
angles: 90.00 90.00 90.00
With the nearest neighbours (Å) after each atom.
Element x y z (fractional)
Si 0.0000 0.0000 0.0000  4 Pt 2.76
Si 0.5000 0.5000 0.0000  4 Pt 2.76
Pt 0.3656 0.8656 0.0000  6 Ti 2.55-2.70, 1 Pt 2.69, 2 Si 2.76
Pt 0.8656 0.6344 0.0000  6 Ti 2.55-2.70, 1 Pt 2.69, 2 Si 2.76
Pt 0.6344 0.1344 0.0000  6 Ti 2.55-2.70, 1 Pt 2.69, 2 Si 2.76
Pt 0.1344 0.3656 0.0000  6 Ti 2.55-2.70, 1 Pt 2.69, 2 Si 2.76
Ti 0.1688 0.6688 0.5000  6 Pt 2.55-2.70
Ti 0.6688 0.8312 0.5000  6 Pt 2.55-2.70
Ti 0.8312 0.3312 0.5000  6 Pt 2.55-2.70
Ti 0.3312 0.1688 0.5000  6 Pt 2.55-2.70

Formation energy from raw total energies = -0.671 eV per atom
Space-group type = P4/mbm (127)
N(E_F) = 0.621 states/eV per atom

=====

Density functional theory data (PBE) for an optimized crystal structure of Ti2Si2Pt.

abc: 3.7778 5.0024 5.0024
angles: 63.25 67.81 67.81
With the nearest neighbours (Å) after each atom.
Element x y z (fractional)
Ti 0.8003 0.6997 0.6997  6 Si 2.68-2.73, 2 Pt 2.97
Ti 0.1997 0.3003 0.3003  6 Si 2.68-2.73, 2 Pt 2.97
Si 0.5000 0.2816 0.7184  1 Si 2.29, 2 Pt 2.40
Si 0.5000 0.7184 0.2816  1 Si 2.29, 2 Pt 2.40
Pt 0.0000 0.0000 0.0000  4 Si 2.40

Formation energy from raw total energies = -0.839 eV per atom
Space-group type = Immm (71)
N(E_F) = 0.777 states/eV per atom
Energy above the most stable polymorph in this dataset = 64 meV/atom

=====

Density functional theory data (PBE) for an optimized crystal structure of TiSi2Pt2.

abc: 7.1439 7.1439 2.9203
angles: 90.00 90.00 90.00
With the nearest neighbours (Å) after each atom.
Element x y z (fractional)
Si 0.3495 0.8495 0.0000  6 Pt 2.50-2.59, 2 Ti 2.72
Si 0.8495 0.6505 0.0000  6 Pt 2.50-2.59, 2 Ti 2.72
Si 0.6505 0.1505 0.0000  6 Pt 2.50-2.59, 2 Ti 2.72
Si 0.1505 0.3495 0.0000  6 Pt 2.50-2.59, 2 Ti 2.72
Pt 0.1483 0.6483 0.5000  6 Si 2.50-2.59
Pt 0.6483 0.8517 0.5000  6 Si 2.50-2.59
Pt 0.8517 0.3517 0.5000  6 Si 2.50-2.59
Pt 0.3517 0.1483 0.5000  6 Si 2.50-2.59
Ti 0.0000 0.0000 0.0000  4 Si 2.72, 2 Ti 2.92
Ti 0.5000 0.5000 0.0000  4 Si 2.72, 2 Ti 2.92

Formation energy from raw total energies = -0.525 eV per atom
Space-group type = P4/mbm (127)
N(E_F) = 0.707 states/eV per atom

=====

Repeat the fourth record exactly.
Density functional theory data (PBE) for an optimized crystal structure of TiSi2Pt2.

abc: 7.1439 7.1439 2.9203
angles: 90.00 90.00 90.00
With the nearest neighbours (Å) after each atom.
Element x y z (fractional)
Si 0.3495 0.8495 0.0000  6 Pt 2.50-2.59, 2 Ti 2.72
Si 0.8495 0.6505 0.0000  6 Pt 2.50-2.59, 2 Ti 2.72
Si 0.6505 0.1505 0.0000  6 Pt 2.50-2.59, 2 Ti 2.72
Si 0.1505 0.3495 0.0000  6 Pt 2.50-2.59, 2 Ti 2.72
Pt 0.1483 0.6483 0.5000  6 Si 2.50-2.59
Pt 0.6483 0.8517 0.5000  6 Si 2.50-2.59
Pt 0.8517 0.3517 0.5000  6 Si 2.50-2.59
Pt 0.3517 0.1483 0.5000  6 Si 2.50-2.59
Ti 0.0000 0.0000 0.0000  4 Si 2.72, 2 Ti 2.92
Ti 0.5000 0.5000 0.0000  4 Si 2.72, 2 Ti 2.92

Formation energy from raw total energies = -0.525 eV per atom
Space-group type = P4/mbm (127)
N(E_F) = 0.707 states/eV per atom